i) The following is a PBE-GGA calculation of NbCoW after structural relaxation, from the Alexandria database.

V ... 45 Å³/f.u.

Lattice parameters (Å, degrees): 4.936 4.890 8.949 82.00 73.99 59.69
Sites, in units of the cell vectors:
W  0.922  0.157  0.500
Co  0.873  0.500  0.253
W  0.578  0.843  0.500
Nb  0.330  0.500  0.340
W  0.172  0.657  0.000
Co  0.877  0.000  0.247
W  0.828  0.343  0.000
Co  0.627  0.500  0.747
Co  0.123  0.000  0.753
Nb  0.420  0.000  0.160
Nb  0.580  0.000  0.840
Nb  0.170  0.500  0.660

***

ii) The following is a PBE-GGA calculation of NbCoW after structural relaxation, from the Alexandria database.

V ... 45 Å³/f.u.

Lattice parameters (Å, degrees): 2.736 2.736 6.290 102.56 102.56 90.00
Sites, in units of the cell vectors:
Co  0.339  0.339  0.678
W  0.983  0.983  0.966
Nb  0.678  0.678  0.357

***

Most stable to least stable, the ends of the list are i) and ii).

***

i) The following is a PBE-GGA calculation of NbCo2W2 after structural relaxation, from the Alexandria database.

V ... 73 Å³/f.u.

Lattice parameters (Å, degrees): 7.388 7.388 2.665 90.00 90.00 90.00
Sites, in units of the cell vectors:
Nb  0.000  0.000  0.000
Co  0.171  0.671  0.500
Nb  0.500  0.500  0.000
Co  0.829  0.329  0.500
W  0.627  0.127  0.000
W  0.373  0.873  0.000
Co  0.671  0.829  0.500
W  0.127  0.373  0.000
Co  0.329  0.171  0.500
W  0.873  0.627  0.000

***

ii) The following is a PBE-GGA calculation of NbCo2W2 after structural relaxation, from the Alexandria database.

V ... 72 Å³/f.u.

Lattice parameters (Å, degrees): 7.317 7.317 2.689 90.00 90.00 90.00
Sites, in units of the cell vectors:
W  0.170  0.670  0.500
Nb  0.000  0.000  0.000
Co  0.876  0.624  0.000
Co  0.124  0.376  0.000
Co  0.624  0.124  0.000
Co  0.376  0.876  0.000
W  0.670  0.830  0.500
W  0.330  0.170  0.500
W  0.830  0.330  0.500
Nb  0.500  0.500  0.000

***

Most stable to least stable, the ends of the list are ii) and i).

***

i) The following is a PBE-GGA calculation of YNb2Co2 after structural relaxation, from the Alexandria database.

V ... 91 Å³/f.u.

Lattice parameters (Å, degrees): 4.296 4.296 5.778 68.18 68.18 90.00
Sites, in units of the cell vectors:
Nb  0.750  0.250  0.500
Co  0.377  0.377  0.245
Nb  0.250  0.750  0.500
Y  0.000  0.000  0.000
Co  0.623  0.623  0.755

***

ii) The following is a PBE-GGA calculation of YNb2Co2 after structural relaxation, from the Alexandria database.

V ... 94 Å³/f.u.

Lattice parameters (Å, degrees): 4.440 4.440 5.713 67.13 67.13 90.00
Sites, in units of the cell vectors:
Co  0.250  0.750  0.500
Nb  0.353  0.353  0.294
Nb  0.647  0.647  0.706
Co  0.750  0.250  0.500
Y  0.000  0.000  0.000

***

iii) The following is a PBE-GGA calculation of YNb2Co2 after structural relaxation, from the Alexandria database.

V ... 85 Å³/f.u.

Lattice parameters (Å, degrees): 7.416 7.416 3.091 90.00 90.00 90.00
Sites, in units of the cell vectors:
Co  0.122  0.378  0.000
Y  0.500  0.500  0.000
Nb  0.658  0.842  0.500
Y  0.000  0.000  0.000
Co  0.378  0.878  0.000
Nb  0.342  0.158  0.500
Co  0.622  0.122  0.000
Nb  0.842  0.342  0.500
Co  0.878  0.622  0.000
Nb  0.158  0.658  0.500

***

Most stable to least stable, the ends of the list are i) and ii).